(1)
Computed, not measured: a relaxed structure of Hf3TcOs at the GGA-PBE level of DFT.

Polymorph energy (0 for the lowest one)   0.1129 eV per atom
SG   Pm-3m, No. 221
Crystal system   cubic
VASP energy   -0.68673 Ry per atom
Calculated formation energy   4.7 eV/f.u.

Lattice parameters (Å, degrees): 4.8421 4.8421 4.8421 90.00 90.00 90.00
With the nearest neighbours (Å) after each atom.
Fractional coordinates of all 5 atoms:
Hf  0.0000  0.0000  0.5000  2 Tc 2.42
Hf  0.0000  0.5000  0.0000  2 Tc 2.42
Hf  0.5000  0.0000  0.0000  2 Tc 2.42
Tc  0.0000  0.0000  0.0000  6 Hf 2.42
Os  0.5000  0.5000  0.5000  12 Hf 3.42

---

(2)
Computed, not measured: a relaxed structure of MgCdGe2P at the GGA-PBE level of DFT.

SG   P4/mmm, No. 123
Crystal system   tetragonal
VASP energy   -0.18307 Ry per atom
Calculated formation energy   4.7 eV/f.u.

Lattice parameters (Å, degrees): 4.9641 4.9641 5.1697 90.00 90.00 90.00
With the nearest neighbours (Å) after each atom.
Fractional coordinates of all 5 atoms:
Mg  0.0000  0.0000  0.0000  4 Ge 2.48, 2 Cd 2.58
Cd  0.0000  0.0000  0.5000  2 Mg 2.58
Ge  0.0000  0.5000  0.0000  2 Mg 2.48
Ge  0.5000  0.0000  0.0000  2 Mg 2.48
P  0.5000  0.5000  0.5000  4 Cd 3.51, 8 Ge 3.58

---

(3)
Computed, not measured: a relaxed structure of EuGd2Sc at the GGA-PBE level of DFT.

Polymorph energy (0 for the lowest one)   0.1040 eV per atom
SG   R-3m, No. 166
Crystal system   trigonal
VASP energy   -0.81002 Ry per atom
Calculated formation energy   0.7 eV/f.u.

Lattice parameters (Å, degrees): 12.4162 12.4162 12.4162 16.17 16.17 16.17
With the nearest neighbours (Å) after each atom.
Fractional coordinates of all 4 atoms:
Eu  0.0000  0.0000  0.0000  2 Gd 3.44, 6 Eu 3.49
Gd  0.0936  0.0936  0.0936  3 Sc 3.36, 1 Eu 3.44, 6 Gd 3.49
Gd  0.9064  0.9064  0.9064  3 Sc 3.36, 1 Eu 3.44, 6 Gd 3.49
Sc  0.5000  0.5000  0.5000  6 Gd 3.36, 6 Sc 3.49

---

(4)
Computed, not measured: a relaxed structure of InSiRuO at the GGA-PBE level of DFT.

Polymorph energy (0 for the lowest one)   0.1954 eV per atom
SG   Cm, No. 8
Crystal system   monoclinic
VASP energy   -0.46978 Ry per atom

Lattice parameters (Å, degrees): 3.0593 3.0593 8.0770 104.64 104.64 54.13
With the nearest neighbours (Å) after each atom.
Fractional coordinates of all 4 atoms:
In  0.0000  0.0000  0.0000  1 O 2.57, 2 In 2.78
Si  0.2534  0.2534  0.5266  2 O 1.78
Ru  0.4579  0.4579  0.3067  3 Si 2.35-2.46
O  0.8356  0.8356  0.6688  2 Si 1.78

---

(5)
Computed, not measured: a relaxed structure of Pr12Si6Pb at the GGA-PBE level of DFT.

SG   Im-3, No. 204
Crystal system   cubic
VASP energy   -0.40123 Ry per atom

Lattice parameters (Å, degrees): 8.9945 8.9945 8.9945 109.47 109.47 109.47
With the nearest neighbours (Å) after each atom.
Fractional coordinates of all 19 atoms:
Pr  0.1093  0.8111  0.2981  3 Si 2.94-3.10
Pr  0.1889  0.2981  0.4870  3 Si 2.94-3.10
Pr  0.1889  0.7019  0.8907  3 Si 2.94-3.10
Pr  0.2981  0.1093  0.8111  3 Si 2.94-3.10
Pr  0.2981  0.4870  0.1889  3 Si 2.94-3.10
Pr  0.4870  0.1889  0.2981  3 Si 2.94-3.10
Pr  0.5130  0.8111  0.7019  3 Si 2.94-3.10
Pr  0.7019  0.5130  0.8111  3 Si 2.94-3.10
Pr  0.7019  0.8907  0.1889  3 Si 2.94-3.10
Pr  0.8111  0.2981  0.1093  3 Si 2.94-3.10
Pr  0.8111  0.7019  0.5130  3 Si 2.94-3.10
Pr  0.8907  0.1889  0.7019  3 Si 2.94-3.10
Si  0.1128  0.6128  0.5000  1 Si 2.34
Si  0.3872  0.5000  0.8872  1 Si 2.34
Si  0.5000  0.1128  0.6128  1 Si 2.34
Si  0.5000  0.8872  0.3872  1 Si 2.34
Si  0.6128  0.5000  0.1128  1 Si 2.34
Si  0.8872  0.3872  0.5000  1 Si 2.34
Pb  0.0000  0.0000  0.0000  12 Pr 3.67

---

(6)
Computed, not measured: a relaxed structure of La2PrCo2 at the GGA-PBE level of DFT.

Polymorph energy (0 for the lowest one)   0.0000 eV per atom
SG   Cmmm, No. 65
Crystal system   orthorhombic
VASP energy   -0.42596 Ry per atom
Calculated formation energy   -0.1 eV/f.u.

Lattice parameters (Å, degrees): 7.8694 7.8694 4.1381 90.00 90.00 149.82
With the nearest neighbours (Å) after each atom.
Fractional coordinates of all 5 atoms:
La  0.1485  0.8515  0.0000  6 Co 2.95-3.07
La  0.8515  0.1485  0.0000  6 Co 2.95-3.07
Pr  0.5000  0.5000  0.5000  2 Co 3.24
Co  0.2866  0.7134  0.5000  2 Co 2.33
Co  0.7134  0.2866  0.5000  2 Co 2.33